Computed, not measured: a geometry-optimized PrMgScZn structure at the PBE-GGA level of DFT.

The structure belongs to space group P4mm (No. 99); the cell edges are 3.5332, 3.5332 and 7.7910 Å and the angles 90.00°, 90.00° and 90.00°. The asymmetric unit holds Pr at (0.0000, 0.0000, 0.0000), Mg at (0.5000, 0.5000, 0.3059), Sc at (0.0000, 0.0000, 0.5548) and Zn at (0.5000, 0.5000, 0.7357).

The formation energy is -0.19 eV per atom. The value obtained for the total magnetic moment is 0.00 μB per formula unit.



Computed, not measured: a geometry-optimized Pr2MgSe4 structure at the PBE-GGA level of DFT.

The structure belongs to space group Pnma (No. 62); the cell edges are 14.6607, 8.6206 and 6.9998 Å and the angles 90.00°, 90.00° and 90.00°. The asymmetric unit holds Pr at (0.0000, 0.0000, 0.0000), Pr at (0.2317, 0.2500, 0.4901), Mg at (0.0947, 0.7500, 0.4126), Se at (0.0681, 0.2500, 0.7420), Se at (0.0904, 0.7500, 0.7768) and Se at (0.1704, 0.5153, 0.2399).

The value obtained for the total magnetic moment is 0.00 μB per formula unit. The calculation puts the energy relative to the elements, uncorrected at -1.666 eV/atom.



Computed, not measured: a geometry-optimized Pr2MgSe4 structure at the PBE-GGA level of DFT.

The structure belongs to space group Pbca (No. 61); the cell edges are 7.0452, 7.7091 and 14.6769 Å and the angles 90.00°, 90.00° and 90.00°. The asymmetric unit holds Pr at (0.0052, 0.1065, 0.1421), Mg at (0.0000, 0.0000, 0.5000), Se at (0.1220, 0.5329, 0.8206) and Se at (0.1844, 0.6869, 0.5421).

The value obtained for the total magnetic moment is 0.00 μB per formula unit. The calculation puts the energy relative to the elements, uncorrected at -1.649 eV/atom.



Computed, not measured: a geometry-optimized Pr6MgSe8 structure at the PBE-GGA level of DFT.

The structure belongs to space group R-3 (No. 148, hexagonal axes); the cell edges are 8.8188, 8.8188 and 18.0365 Å and the angles 90.00°, 90.00° and 120.00°. The asymmetric unit holds Pr at (0.0047, 0.6147, 0.0818), Mg at (0.0000, 0.0000, 0.0000), Se at (0.0000, 0.0000, 0.3268) and Se at (0.0036, 0.2635, 0.0866).

The value obtained for the total magnetic moment is 0.00 μB per formula unit. The calculation puts the energy relative to the elements, uncorrected at -1.707 eV/atom.



Computed, not measured: a geometry-optimized Pr2MgSe4 structure at the PBE-GGA level of DFT.

The structure belongs to space group Pnma (No. 62); the cell edges are 8.6115, 7.5393 and 12.4016 Å and the angles 90.00°, 90.00° and 90.00°. The asymmetric unit holds Pr at (0.0403, 0.2500, 0.1809), Pr at (0.0830, 0.7500, 0.4659), Mg at (0.1924, 0.7500, 0.0833), Se at (0.0904, 0.2500, 0.9398), Se at (0.1421, 0.5067, 0.6552) and Se at (0.2099, 0.2500, 0.3894).

The value obtained for the total magnetic moment is 0.00 μB per formula unit. The calculation puts the energy relative to the elements, uncorrected at -1.526 eV/atom.



Computed, not measured: a geometry-optimized Pr2MgSe4 structure at the PBE-GGA level of DFT.

The structure belongs to space group I-42d (No. 122); the cell edges are 8.7502, 8.7502 and 9.2847 Å and the angles 90.00°, 90.00° and 90.00°. The asymmetric unit holds Pr at (0.1258, 0.7500, 0.1250), Mg at (0.0000, 0.0000, 0.5000) and Se at (0.0690, 0.6979, 0.4434).

The value obtained for the total magnetic moment is 0.00 μB per formula unit. The calculation puts the energy relative to the elements, uncorrected at -1.639 eV/atom.



no.,VASP energy (eV per cell)
1,-14.744
2,-147.010
3,-146.549
4,-251.279
5,-143.104
6,-146.260